[1]
! Pr12DyHo6 PBE relaxed; values from VASP
! space group = R-3, No. 148
! ΔE to the lowest computed polymorph = 110 meV per atom
&SYSTEM
  ibrav = 0, nat = 19, ntyp = 3
/
ATOMIC_SPECIES
Pr 140.91 Pr.upf
Ho 164.93 Ho.upf
Dy 162.50 Dy.upf
ATOMIC_POSITIONS angstrom
Pr 6.1795 4.8803 4.8698
Pr 4.4869 1.9473 4.6901
Pr 4.4032 8.3701 8.3706
Pr -0.1817 1.4182 3.3355
Pr 3.8871 3.5677 7.6080
Pr 3.0210 0.2795 1.9914
Pr 1.4293 3.2755 0.6309
Pr 1.2446 3.7693 5.4923
Pr 5.9948 5.3741 9.7312
Pr 7.6058 7.2314 7.0265
Pr 3.5371 5.0819 2.7541
Pr 2.9372 6.7023 5.6720
Ho 5.6827 8.1111 3.9383
Ho 7.1558 2.6514 7.4403
Ho 1.7414 0.5385 6.4238
Ho 1.5359 5.9848 8.6843
Ho 0.2683 5.9982 2.9218
Ho 5.8882 2.6649 1.6778
Dy 0.0000 0.0000 0.0000
CELL_PARAMETERS angstrom
8.6597 0.7032 0.8424
-0.6178 8.6662 0.8424
-0.6178 -0.7198 8.6773

---

[2]
! Pr4DyHo5 PBE relaxed; values from VASP
! space group = P4/mmm, No. 123
! ΔE to the lowest computed polymorph = 0 meV per atom
&SYSTEM
  ibrav = 0, nat = 10, ntyp = 3
/
ATOMIC_SPECIES
Ho 164.93 Ho.upf
Pr 140.91 Pr.upf
Dy 162.50 Dy.upf
ATOMIC_POSITIONS angstrom
Ho 1.8079 1.8079 22.8265
Ho 1.8079 1.8079 12.6335
Ho 1.8079 1.8079 7.5390
Ho 1.8079 1.8079 2.4405
Ho 1.8079 1.8079 17.7281
Pr 0.0000 0.0000 10.0886
Pr 0.0000 0.0000 5.0026
Pr 0.0000 0.0000 15.1785
Pr 0.0000 0.0000 20.2645
Dy 0.0000 0.0000 0.0000
CELL_PARAMETERS angstrom
3.6158 0.0000 0.0000
0.0000 3.6158 0.0000
0.0000 0.0000 25.2671

---

[3]
! Pr4DyHo4 PBE relaxed; values from VASP
! space group = I4/mmm, No. 139
! ΔE to the lowest computed polymorph = 0 meV per atom
&SYSTEM
  ibrav = 0, nat = 9, ntyp = 3
/
ATOMIC_SPECIES
Pr 140.91 Pr.upf
Ho 164.93 Ho.upf
Dy 162.50 Dy.upf
ATOMIC_POSITIONS angstrom
Pr -7.4117 8.2098 4.5723
Pr 0.1390 2.8702 2.1812
Pr -2.0902 6.0715 7.0724
Pr -5.1825 5.0086 -0.3189
Ho -4.8044 5.7034 4.7138
Ho -2.4683 5.3767 2.0397
Ho -2.3319 8.2421 4.1862
Ho -4.9408 2.8379 2.5673
Dy 0.0000 0.0000 0.0000
CELL_PARAMETERS angstrom
-0.0845 5.0433 -0.6899
-7.6899 2.4696 0.2113
0.5017 3.5672 7.2320

---

[4]
! PrDy3Ho3 PBE relaxed; values from VASP
! space group = R-3, No. 148
! ΔE to the lowest computed polymorph = 0 meV per atom
&SYSTEM
  ibrav = 0, nat = 14, ntyp = 3
/
ATOMIC_SPECIES
Dy 162.50 Dy.upf
Pr 140.91 Pr.upf
Ho 164.93 Ho.upf
ATOMIC_POSITIONS angstrom
Dy 6.8224 0.9960 6.0999
Dy 4.4812 6.2652 5.0410
Dy 1.7823 2.5340 8.6688
Dy 4.2795 7.3141 10.7063
Dy 9.3196 5.7761 8.1374
Dy 6.6207 2.0448 11.7652
Pr 3.8890 2.9110 5.8872
Pr 7.2129 5.3990 10.9190
Ho 2.7833 5.6710 8.1878
Ho 6.0137 7.2377 7.8671
Ho 5.0882 1.0723 8.9391
Ho 7.2557 4.5798 5.7729
Ho 3.8462 3.7302 11.0333
Ho 8.3186 2.6390 8.6184
CELL_PARAMETERS angstrom
7.8209 0.4692 4.0179
2.6542 7.3717 4.0179
0.6268 0.4692 8.7703

---

[5]
! PrDy6Ho8 PBE relaxed; values from VASP
! space group = R-3, No. 148
&SYSTEM
  ibrav = 0, nat = 15, ntyp = 3
/
ATOMIC_SPECIES
Dy 162.50 Dy.upf
Ho 164.93 Ho.upf
Pr 140.91 Pr.upf
ATOMIC_POSITIONS angstrom
Dy 5.8822 1.1615 0.8423
Dy 2.5688 2.1262 0.8423
Dy 5.0609 4.5134 0.8423
Dy 12.9549 5.8881 6.0002
Dy 15.4471 8.2752 6.0002
Dy 12.1337 9.2399 6.0002
Ho 6.2619 6.9058 2.9134
Ho 9.0079 5.2007 1.8528
Ho 11.8576 6.7263 2.9134
Ho 8.9043 1.9700 2.9134
Ho 11.7540 3.4956 3.9291
Ho 9.0079 5.2007 4.9897
Ho 9.1116 8.4314 3.9291
Ho 6.1582 3.6751 3.9291
Pr 0.0000 0.0000 0.0000
CELL_PARAMETERS angstrom
9.0079 0.0000 0.0000
4.5040 7.8011 0.0000
4.5040 2.6004 6.8425

---

[6]
! Pr4Dy2Ho3 PBE relaxed; values from VASP
! space group = P-1, No. 2
! ΔE to the lowest computed polymorph = 0 meV per atom
&SYSTEM
  ibrav = 0, nat = 18, ntyp = 3
/
ATOMIC_SPECIES
Ho 164.93 Ho.upf
Dy 162.50 Dy.upf
Pr 140.91 Pr.upf
ATOMIC_POSITIONS angstrom
Ho -6.6084 -8.2744 -8.4162
Ho -6.2000 -5.5372 -2.7385
Ho -0.7288 -0.2333 -8.6527
Ho -3.3601 -4.4887 -4.9102
Ho -0.3203 2.5039 -2.9750
Ho -3.5687 -1.2819 -6.4810
Dy -3.2095 -1.5112 -2.7939
Dy -6.2322 -8.5571 -4.9168
Dy -3.7192 -4.2593 -8.5973
Dy -0.6966 2.7866 -6.4744
Pr -0.5804 -3.4371 -7.1497
Pr -3.5404 -7.4865 -7.0467
Pr -6.3483 -2.3334 -4.2415
Pr -6.3909 -5.3462 -6.4674
Pr -3.3884 1.7159 -4.3445
Pr -0.1445 -0.7132 -1.4145
Pr -0.5379 -0.4244 -4.9238
Pr -6.7843 -5.0573 -9.9767
CELL_PARAMETERS angstrom
-0.3475 6.4122 -3.1067
2.3097 -4.9993 -6.5625
-8.8910 -7.1834 -1.7220

---

[7]
! PrDy8Ho4 PBE relaxed; values from VASP
! space group = R-3m, No. 166
&SYSTEM
  ibrav = 0, nat = 13, ntyp = 3
/
ATOMIC_SPECIES
Dy 162.50 Dy.upf
Ho 164.93 Ho.upf
Pr 140.91 Pr.upf
ATOMIC_POSITIONS angstrom
Dy -2.8526 -0.6118 1.5824
Dy -4.1889 2.1994 3.5622
Dy -6.9762 0.3386 2.0698
Dy -0.6555 1.3169 2.9752
Dy -2.7120 0.9770 6.6900
Dy 1.4116 0.0266 6.2027
Dy -4.9091 -0.9517 5.2973
Dy -1.3758 -1.8342 4.7103
Ho -2.4704 -2.1686 -1.5660
Ho 0.0000 0.0000 0.0000
Ho -0.6092 -3.3304 1.3399
Ho 1.8612 -1.1618 2.9059
Pr -0.3119 2.3512 5.7023
CELL_PARAMETERS angstrom
-4.9408 -4.3373 -3.1320
3.7224 -2.3236 5.8119
-4.3462 7.0260 5.5926

---

[8]
! Pr2Dy7Ho2 PBE relaxed; values from VASP
! space group = C2/m, No. 12
! ΔE to the lowest computed polymorph = 0 meV per atom
&SYSTEM
  ibrav = 0, nat = 11, ntyp = 3
/
ATOMIC_SPECIES
Dy 162.50 Dy.upf
Ho 164.93 Ho.upf
Pr 140.91 Pr.upf
ATOMIC_POSITIONS angstrom
Dy -1.4159 -0.8708 4.9366
Dy 1.5874 2.6704 9.5633
Dy 3.7802 6.4159 5.7836
Dy 1.7723 4.7207 3.6966
Dy 2.8314 5.7717 9.2552
Dy 0.5283 1.6193 4.0048
Dy -0.4205 0.9751 7.4763
Ho 1.7722 2.6140 0.9694
Ho 4.4193 6.5186 2.4174
Pr 3.2342 2.8009 6.2009
Pr 0.1255 4.5902 7.0590
CELL_PARAMETERS angstrom
-0.6038 5.5456 5.8161
-2.8318 -1.7416 9.8731
6.7953 3.5871 -2.4292

---

[9]
! Pr3Dy5Ho PBE relaxed; values from VASP
! space group = C2/m, No. 12
&SYSTEM
  ibrav = 0, nat = 18, ntyp = 3
/
ATOMIC_SPECIES
Dy 162.50 Dy.upf
Ho 164.93 Ho.upf
Pr 140.91 Pr.upf
ATOMIC_POSITIONS angstrom
Dy 6.7582 8.6772 4.3690
Dy 7.1594 5.4060 3.8266
Dy 15.1178 11.4153 11.8901
Dy 2.4266 1.8323 0.9817
Dy 4.3233 6.7370 1.7174
Dy 10.7863 4.5705 8.5029
Dy 7.3487 9.1231 8.5029
Dy 7.6632 2.3138 1.7174
Dy 10.1958 4.1246 4.3690
Dy 10.3851 7.8417 9.0452
Ho 12.3903 9.3558 6.6731
Ho 5.1541 3.8918 6.1988
Pr 2.7790 2.0984 4.7186
Pr 0.0000 0.0000 0.0000
Pr 12.8724 9.7199 10.0389
Pr 9.9408 7.5062 5.6826
Pr 4.6720 3.5278 2.8330
Pr 7.6036 5.7414 7.1892
CELL_PARAMETERS angstrom
9.4250 -0.0195 1.7174
2.5614 9.0703 1.7174
5.5580 4.1968 9.4371

---

[10]
! Pr12DyHo7 PBE relaxed; values from VASP
! space group = R-3, No. 148
! ΔE to the lowest computed polymorph = 0 meV per atom
&SYSTEM
  ibrav = 0, nat = 20, ntyp = 3
/
ATOMIC_SPECIES
Pr 140.91 Pr.upf
Ho 164.93 Ho.upf
Dy 162.50 Dy.upf
ATOMIC_POSITIONS angstrom
Pr 2.3701 3.8881 2.3275
Pr 3.8562 4.3962 10.1070
Pr 0.6301 6.2403 4.8771
Pr 1.8394 1.1884 7.6373
Pr 5.8190 3.5994 4.0383
Pr 3.1506 7.4297 8.4393
Pr 6.2607 5.8269 7.9498
Pr 4.3869 7.0959 4.7972
Pr 3.0758 0.8546 3.9951
Pr -0.0343 2.4575 4.4846
Pr 5.5963 2.0441 7.5574
Pr 0.4074 4.6850 8.3962
Ho -0.9776 7.6930 7.6386
Ho 3.1132 4.1422 6.2172
Ho 2.0294 8.0871 2.3929
Ho -1.4351 1.6973 8.3848
Ho 7.2039 0.5913 4.7958
Ho 4.1969 0.1972 10.0416
Ho 7.6614 6.5871 4.0496
Dy 0.0000 0.0000 0.0000
CELL_PARAMETERS angstrom
8.5998 1.2540 1.8822
-1.1868 8.6094 1.8822
-1.1868 -1.5790 8.6701

---

[11]
! Pr3Dy2Ho7 PBE relaxed; values from VASP
! space group = P2/m, No. 10
&SYSTEM
  ibrav = 0, nat = 12, ntyp = 3
/
ATOMIC_SPECIES
Ho 164.93 Ho.upf
Dy 162.50 Dy.upf
Pr 140.91 Pr.upf
ATOMIC_POSITIONS angstrom
Ho 6.6634 6.9595 3.6816
Ho 8.7600 11.0494 7.7515
Ho 1.5949 3.4303 0.7778
Ho 3.6915 7.5201 4.8476
Ho 11.3471 8.7356 7.4112
Ho 0.0000 0.0000 0.0000
Ho -0.5450 3.1295 3.5152
Dy 1.3257 5.8609 3.4793
Dy 9.0292 8.6187 5.0500
Pr 4.5120 3.9730 3.4916
Pr 6.2901 7.8921 7.4347
Pr -2.1404 2.6076 0.5774
CELL_PARAMETERS angstrom
-0.4473 2.6146 -2.3971
-3.8335 2.6005 3.5518
14.6356 9.2645 7.3745

---

[12]
! Pr4Dy5Ho3 PBE relaxed; values from VASP
! space group = C2/m, No. 12
&SYSTEM
  ibrav = 0, nat = 12, ntyp = 3
/
ATOMIC_SPECIES
Ho 164.93 Ho.upf
Dy 162.50 Dy.upf
Pr 140.91 Pr.upf
ATOMIC_POSITIONS angstrom
Ho 2.9772 3.3930 3.2732
Ho 5.9543 5.0392 0.6006
Ho 5.9543 1.7468 5.9459
Dy 2.9772 3.3989 -0.1487
Dy 8.9315 3.3871 6.6952
Dy 2.9772 0.2915 1.7008
Dy 8.9315 6.4945 4.8457
Dy 5.9543 3.3930 3.2732
Pr 5.9543 5.1257 6.6440
Pr 2.9772 -0.1382 5.5563
Pr 5.9543 1.6603 -0.0975
Pr 8.9315 6.9242 0.9902
CELL_PARAMETERS angstrom
5.9543 0.0000 0.0000
2.9772 7.6479 -2.6615
2.9772 -0.8619 9.2080

---

no.,final energy (eV per atom)
1,-4.58
2,-4.64
3,-4.65
4,-4.39
5,-4.47
6,-4.63
7,-4.41
8,-4.48
9,-4.14
10,-4.48
11,-4.55
12,-4.43